Crystalline CuAgSnSe4 at its relaxed geometry, computed with PBE. Values from VASP.

* N(E_F): 3.6 states/eV/f.u.
* calculated total energy: -0.27234 Ry per atom
* formation energy from raw total energies: -0.15 eV per atom
* space group: No. 74

Quantum ESPRESSO input file:
```
&SYSTEM
  ibrav = 0, nat = 14, ntyp = 4
/
ATOMIC_SPECIES
Se 78.96 Se.upf
Ag 107.87 Ag.upf
Cu 63.55 Cu.upf
Sn 118.71 Sn.upf
ATOMIC_POSITIONS crystal
Se 0.787 0.248 0.748
Se 0.767 0.741 0.726
Se 0.233 0.259 0.274
Se 0.213 0.752 0.252
Se 0.233 0.774 0.759
Se 0.784 0.752 0.252
Se 0.767 0.226 0.241
Se 0.216 0.248 0.748
Ag 0.607 0.643 0.143
Ag 0.393 0.357 0.857
Cu 0.000 0.500 0.500
Cu 0.000 0.000 0.000
Sn 0.000 0.000 0.500
Sn 0.500 0.000 0.500
CELL_PARAMETERS angstrom
7.995 0.000 0.000
3.998 6.676 0.030
3.998 2.062 6.350
```

---

Crystalline CuAg4Sn3Se8 at its relaxed geometry, computed with PBE. Values from VASP.

* N(E_F): 7.3 states/eV/f.u.
* calculated total energy: -0.27095 Ry per atom
* formation energy from raw total energies: -0.22 eV per atom
* space group: No. 12

Quantum ESPRESSO input file:
```
&SYSTEM
  ibrav = 0, nat = 16, ntyp = 4
/
ATOMIC_SPECIES
Se 78.96 Se.upf
Ag 107.87 Ag.upf
Cu 63.55 Cu.upf
Sn 118.71 Sn.upf
ATOMIC_POSITIONS crystal
Se 0.279 0.782 0.557
Se 0.721 0.218 0.443
Se 0.785 0.723 0.002
Se 0.783 0.277 0.998
Se 0.215 0.277 0.998
Se 0.217 0.723 0.002
Se 0.249 0.243 0.499
Se 0.751 0.757 0.501
Ag 0.000 0.000 0.000
Ag 0.000 0.000 0.500
Ag 0.500 0.000 0.500
Ag 0.500 0.000 0.000
Cu 0.000 0.500 0.000
Sn 0.500 0.500 0.000
Sn 0.500 0.500 0.500
Sn 0.000 0.500 0.500
CELL_PARAMETERS angstrom
7.923 0.000 0.000
0.000 8.037 0.007
-3.962 -4.004 5.766
```

---

Crystalline Cu2AgSnSe4 at its relaxed geometry, computed with PBE. Values from VASP.

* N(E_F): 5.5 states/eV/f.u.
* calculated total energy: -0.28468 Ry per atom
* formation energy from raw total energies: -0.25 eV per atom
* space group: No. 121

Quantum ESPRESSO input file:
```
&SYSTEM
  ibrav = 0, nat = 8, ntyp = 4
/
ATOMIC_SPECIES
Ag 107.87 Ag.upf
Se 78.96 Se.upf
Sn 118.71 Sn.upf
Cu 63.55 Cu.upf
ATOMIC_POSITIONS crystal
Ag 0.000 0.000 0.000
Se 0.111 0.111 0.720
Se 0.391 0.889 0.280
Se 0.889 0.391 0.280
Se 0.609 0.609 0.720
Sn 0.500 0.500 0.000
Cu 0.750 0.250 0.500
Cu 0.250 0.750 0.500
CELL_PARAMETERS angstrom
-1.184 -5.636 -1.029
1.834 0.625 -5.520
5.029 1.085 4.892
```

---

Crystalline CuAgSn2Se4 at its relaxed geometry, computed with PBE. Values from VASP.

* N(E_F): 1.7 states/eV/f.u.
* calculated total energy: -0.28337 Ry per atom
* formation energy from raw total energies: -0.24 eV per atom
* space group: No. 42

Quantum ESPRESSO input file:
```
&SYSTEM
  ibrav = 0, nat = 8, ntyp = 4
/
ATOMIC_SPECIES
Sn 118.71 Sn.upf
Cu 63.55 Cu.upf
Se 78.96 Se.upf
Ag 107.87 Ag.upf
ATOMIC_POSITIONS crystal
Sn 0.766 0.266 0.532
Sn 0.266 0.766 0.532
Cu 0.508 0.508 0.016
Se 0.606 0.606 0.748
Se 0.374 0.838 0.211
Se 0.142 0.142 0.748
Se 0.838 0.374 0.211
Ag 0.001 0.001 0.003
CELL_PARAMETERS angstrom
6.465 -0.197 0.000
-0.733 6.426 0.000
-2.866 -3.114 5.369
```

---

Crystalline CuAg2SnSe4 at its relaxed geometry, computed with PBE. Values from VASP.

* N(E_F): 5.9 states/eV/f.u.
* calculated total energy: -0.27115 Ry per atom
* formation energy from raw total energies: -0.22 eV per atom
* space group: No. 1

Quantum ESPRESSO input file:
```
&SYSTEM
  ibrav = 0, nat = 8, ntyp = 4
/
ATOMIC_SPECIES
Se 78.96 Se.upf
Ag 107.87 Ag.upf
Cu 63.55 Cu.upf
Sn 118.71 Sn.upf
ATOMIC_POSITIONS crystal
Se 0.382 0.849 0.237
Se 0.085 0.090 0.707
Se 0.622 0.617 0.707
Se 0.854 0.387 0.236
Ag 0.486 0.985 0.972
Ag 0.236 0.236 0.471
Cu 0.736 0.736 0.472
Sn 0.986 0.486 0.972
CELL_PARAMETERS angstrom
-5.179 2.763 1.277
-0.208 -2.837 5.295
5.645 4.426 -0.818
```

---

Crystalline TaCuAg2Se4 at its relaxed geometry, computed with PBE. Values from VASP.

* calculated total energy: -0.35021 Ry per atom
* formation energy from raw total energies: -0.32 eV per atom
* space group: No. 42

Quantum ESPRESSO input file:
```
&SYSTEM
  ibrav = 0, nat = 8, ntyp = 4
/
ATOMIC_SPECIES
Ag 107.87 Ag.upf
Ta 180.95 Ta.upf
Cu 63.55 Cu.upf
Se 78.96 Se.upf
ATOMIC_POSITIONS crystal
Ag 0.250 0.750 0.500
Ag 0.750 0.250 0.500
Ta 0.500 0.500 0.000
Cu 0.000 0.000 0.001
Se 0.858 0.363 0.221
Se 0.363 0.858 0.221
Se 0.141 0.141 0.779
Se 0.637 0.637 0.779
CELL_PARAMETERS angstrom
5.804 0.238 0.000
-0.244 5.803 0.000
-2.780 -3.021 6.098
```